HfCrRu2N after structural relaxation, computed with PBE.

Results
Density ... 10.8 g/cm3
Raw formation energy ... -0.27 eV per formula unit
E_tot ... -9.34 eV per atom
Total magnetization ... 0.0 Bohr magnetons per cell

Unit cell a=4.0059 b=4.0059 c=4.2709 alpha=90.00 beta=90.00 gamma=90.00
Space group P4/mmm (No. 123)
Inequivalent atoms, fractional coordinates:
1 Hf 0.0000 0.0000 0.0000 x1
2 Cr 0.5000 0.5000 0.0000 x1
3 Ru 0.0000 0.5000 0.5000 x2
4 N 0.0000 0.0000 0.5000 x1



Hf2CrRuN after structural relaxation, computed with PBE.

Results
Density ... 11.8 g/cm3
Raw formation energy ... -3.91 eV per formula unit
E_tot ... -10.21 eV per atom
Total magnetization ... 0.1 Bohr magnetons per cell

Unit cell a=4.5116 b=4.5116 c=3.6108 alpha=90.00 beta=90.00 gamma=90.00
Space group P4/mmm (No. 123)
Inequivalent atoms, fractional coordinates:
1 Hf 0.0000 0.5000 0.0000 x2
2 Cr 0.0000 0.0000 0.5000 x1
3 Ru 0.5000 0.5000 0.5000 x1
4 N 0.0000 0.0000 0.0000 x1



Which of these has the lowest E_tot?
Hf2CrRuN



Repeat the second record exactly.
Hf2CrRuN after structural relaxation, computed with PBE.

Results
Density ... 11.8 g/cm3
Raw formation energy ... -3.91 eV per formula unit
E_tot ... -10.21 eV per atom
Total magnetization ... 0.1 Bohr magnetons per cell

Unit cell a=4.5116 b=4.5116 c=3.6108 alpha=90.00 beta=90.00 gamma=90.00
Space group P4/mmm (No. 123)
Inequivalent atoms, fractional coordinates:
1 Hf 0.0000 0.5000 0.0000 x2
2 Cr 0.0000 0.0000 0.5000 x1
3 Ru 0.5000 0.5000 0.5000 x1
4 N 0.0000 0.0000 0.0000 x1



Please write out number 2 again, unchanged.
Hf2CrRuN after structural relaxation, computed with PBE.

Results
Density ... 11.8 g/cm3
Raw formation energy ... -3.91 eV per formula unit
E_tot ... -10.21 eV per atom
Total magnetization ... 0.1 Bohr magnetons per cell

Unit cell a=4.5116 b=4.5116 c=3.6108 alpha=90.00 beta=90.00 gamma=90.00
Space group P4/mmm (No. 123)
Inequivalent atoms, fractional coordinates:
1 Hf 0.0000 0.5000 0.0000 x2
2 Cr 0.0000 0.0000 0.5000 x1
3 Ru 0.5000 0.5000 0.5000 x1
4 N 0.0000 0.0000 0.0000 x1



Which value of raw formation energy does entry 2 give?
-3.91 eV per formula unit